# AsSe

An optimized crystal structure of AsSe (PBEsol, the Alexandria database).

```
AsSe
1.0
6.631 0.000 0.000
0.000 13.682 0.000
-3.844 0.000 8.847
As Se
16 16
direct
0.062 0.138 0.438
0.062 0.362 0.938
0.154 0.019 0.898
0.154 0.481 0.398
0.165 0.663 0.471
0.165 0.837 0.971
0.359 0.634 0.171
0.359 0.866 0.671
0.641 0.134 0.329
0.641 0.366 0.829
0.835 0.163 0.029
0.835 0.337 0.529
0.846 0.519 0.602
0.846 0.981 0.102
0.938 0.638 0.062
0.938 0.862 0.562
0.123 0.233 0.246
0.123 0.267 0.746
0.150 0.515 0.850
0.150 0.985 0.350
0.427 0.025 0.791
0.427 0.475 0.291
0.454 0.723 0.404
0.454 0.777 0.904
0.546 0.223 0.096
0.546 0.277 0.596
0.573 0.525 0.709
0.573 0.975 0.209
0.850 0.015 0.650
0.850 0.485 0.150
0.877 0.733 0.254
0.877 0.767 0.754
```

Results
The calculation puts the formation energy (no corrections) at -0.1 eV per formula unit. The symmetry is No. 14. As for the total energy: -4.531 eV/atom.

***

# AsSe

An optimized crystal structure of AsSe (PBEsol, the Alexandria database).

```
AsSe
1.0
5.342 0.000 0.000
0.000 3.497 0.000
0.000 0.000 6.371
As Se
2 2
direct
0.250 0.000 0.010
0.750 0.000 0.990
0.250 0.500 0.273
0.750 0.500 0.727
```

Results
The calculation puts the formation energy (no corrections) at 0.0 eV per formula unit. The symmetry is No. 51. As for the total energy: -4.455 eV/atom.

***

Q: Among the records above, which one has the lowest total energy?
A: number 1

***

Q: Among the records above, which one has the lowest formation energy (no corrections)?
A: number 1

***

Q: Look up the total energy of the second one.
A: -4.455 eV/atom

***

Q: What is the formula in the first record?
A: AsSe